VASP calculation (PBE-GGA) on LiAu2F6 after structural relaxation.

**Energy**: -3.50 eV/atom
**Magnetization**: 0.00 μB/f.u.
**Symmetry**: P-1 (2)

Cell: 3.5743 6.5201 6.5642 Å, 87.33 75.31 89.64°
Closest atoms and distances in Å follow each position.
Positions (direct):
Li1 0.0000 0.0000 0.0000  4 F 1.94-2.17
Au1 0.2642 0.1548 0.4662  4 F 1.96-2.20
Au2 0.7358 0.8452 0.5338  4 F 1.96-2.20
F1 0.1208 0.2051 0.7684  1 Li 1.94, 1 Au 1.96
F2 0.2160 0.6528 0.5790  2 Au 2.19-2.20
F3 0.4100 0.1202 0.1585  1 Au 1.98, 1 Li 2.17
F4 0.5900 0.8798 0.8415  1 Au 1.98, 1 Li 2.17
F5 0.7840 0.3472 0.4210  2 Au 2.19-2.20
F6 0.8792 0.7949 0.2316  1 Li 1.94, 1 Au 1.96



VASP calculation (PBE-GGA) on CsHg2BiF8 after structural relaxation.

**Energy**: -3.67 eV/atom
**Magnetization**: 0.00 μB/f.u.
**Symmetry**: P-1 (2)

Cell: 4.3469 6.2933 8.6371 Å, 80.69 84.38 79.90°
Closest atoms and distances in Å follow each position.
Positions (direct):
Cs1 0.0000 0.0000 0.0000  8 F 2.88-3.04
Hg1 0.4178 0.4492 0.2256  4 F 2.19-2.42
Hg2 0.5822 0.5508 0.7744  4 F 2.19-2.42
Bi1 0.0000 0.0000 0.5000  6 F 2.27-2.46
F1 0.0324 0.7355 0.7319  1 Bi 2.39, 2 Hg 2.42-2.50, 2 F 2.64-2.65
F2 0.1159 0.7606 0.3239  1 Bi 2.27, 1 Hg 2.39
F3 0.4149 0.3169 0.9658  1 Hg 2.19
F4 0.4485 0.1982 0.4445  1 Hg 2.26, 1 Bi 2.46, 1 F 2.50
F5 0.5515 0.8018 0.5555  1 Hg 2.26, 1 Bi 2.46, 1 F 2.50
F6 0.5851 0.6831 0.0342  1 Hg 2.19
F7 0.8841 0.2394 0.6761  1 Bi 2.27, 1 Hg 2.39
F8 0.9676 0.2645 0.2681  1 Bi 2.39, 2 Hg 2.42-2.50, 2 F 2.64-2.65



VASP calculation (PBE-GGA) on LiScTcMo after structural relaxation.

**Energy**: -7.34 eV/atom
**E_form**: 16.4 meV per atom
**Magnetization**: 0.00 μB/f.u.
**Symmetry**: F-43m (216)

Cell: 4.4654 4.4654 4.4654 Å, 60.00 60.00 60.00°
Closest atoms and distances in Å follow each position.
Positions (direct):
Li1 0.0000 0.0000 0.0000  4 Mo 2.73, 4 Sc 2.73
Sc1 0.7500 0.7500 0.7500  4 Tc 2.73, 4 Li 2.73
Tc1 0.5000 0.5000 0.5000  4 Mo 2.73, 4 Sc 2.73
Mo1 0.2500 0.2500 0.2500  4 Tc 2.73, 4 Li 2.73



VASP calculation (PBE-GGA) on CsLaSe2 after structural relaxation.

**Energy**: -4.88 eV/atom
**Magnetization**: 0.00 μB/f.u.
**Symmetry**: Pnma (62)

Cell: 8.5012 6.0051 13.0778 Å, 90.00 90.00 90.00°
Closest atoms and distances in Å follow each position.
Positions (direct):
Cs1 0.0827 0.2500 0.1248  4 Se 3.59-3.79
Cs2 0.4173 0.7500 0.6248  4 Se 3.59-3.79
Cs3 0.5827 0.2500 0.3752  4 Se 3.59-3.79
Cs4 0.9173 0.7500 0.8752  4 Se 3.59-3.79
La1 0.0455 0.7500 0.3753  5 Se 2.87-3.03
La2 0.4545 0.2500 0.8753  5 Se 2.87-3.03
La3 0.5455 0.7500 0.1247  5 Se 2.87-3.03
La4 0.9545 0.2500 0.6247  5 Se 2.87-3.03
Se1 0.0267 0.2500 0.4037  3 La 2.95-3.03
Se2 0.1295 0.2500 0.8166  2 La 2.87-2.92
Se3 0.3705 0.7500 0.3166  2 La 2.87-2.92
Se4 0.4733 0.7500 0.9037  3 La 2.95-3.03
Se5 0.5267 0.2500 0.0963  3 La 2.95-3.03
Se6 0.6295 0.2500 0.6834  2 La 2.87-2.92
Se7 0.8705 0.7500 0.1834  2 La 2.87-2.92
Se8 0.9733 0.7500 0.5963  3 La 2.95-3.03



VASP calculation (PBE-GGA) on NdCuAg after structural relaxation.

**Energy**: -3.97 eV/atom
**Energy relative to the lowest polymorph listed for this composition**: 0.50 eV/f.u.
**E_form**: -66.7 meV per atom
**Magnetization**: 0.00 μB/f.u.
**Symmetry**: F-43m (216)

Cell: 4.6689 4.6689 4.6689 Å, 60.00 60.00 60.00°
Closest atoms and distances in Å follow each position.
Positions (direct):
Nd1 0.0000 0.0000 0.0000  4 Cu 2.86
Cu1 0.2500 0.2500 0.2500  4 Nd 2.86, 4 Ag 2.86
Ag1 0.5000 0.5000 0.5000  4 Cu 2.86



VASP calculation (PBE-GGA) on SbAsCBr2 after structural relaxation.

**Energy**: -2.61 eV/atom
**Energy relative to the lowest polymorph listed for this composition**: 2.78 eV/f.u.
**Magnetization**: 3.55 μB/f.u.
**Symmetry**: P4/mmm (123)

Cell: 5.6180 5.6180 5.5715 Å, 90.00 90.00 90.00°
Closest atoms and distances in Å follow each position.
Positions (direct):
Sb1 0.0000 0.0000 0.0000  2 As 2.79, 4 Br 2.81
As1 0.0000 0.0000 0.5000  2 Sb 2.79
C1 0.5000 0.5000 0.5000  8 Br 3.96, 4 As 3.97
Br1 0.0000 0.5000 0.0000  2 Sb 2.81
Br2 0.5000 0.0000 0.0000  2 Sb 2.81



Question: Among the records above, which one has the highest energy?
Answer: SbAsCBr2



Question: energy of number 6 (SbAsCBr2)?
Answer: -2.61 eV/atom



Question: Which of these has the highest energy?
Answer: SbAsCBr2



Copy entry 1 word for word.
VASP calculation (PBE-GGA) on LiAu2F6 after structural relaxation.

**Energy**: -3.50 eV/atom
**Magnetization**: 0.00 μB/f.u.
**Symmetry**: P-1 (2)

Cell: 3.5743 6.5201 6.5642 Å, 87.33 75.31 89.64°
Closest atoms and distances in Å follow each position.
Positions (direct):
Li1 0.0000 0.0000 0.0000  4 F 1.94-2.17
Au1 0.2642 0.1548 0.4662  4 F 1.96-2.20
Au2 0.7358 0.8452 0.5338  4 F 1.96-2.20
F1 0.1208 0.2051 0.7684  1 Li 1.94, 1 Au 1.96
F2 0.2160 0.6528 0.5790  2 Au 2.19-2.20
F3 0.4100 0.1202 0.1585  1 Au 1.98, 1 Li 2.17
F4 0.5900 0.8798 0.8415  1 Au 1.98, 1 Li 2.17
F5 0.7840 0.3472 0.4210  2 Au 2.19-2.20
F6 0.8792 0.7949 0.2316  1 Li 1.94, 1 Au 1.96